1 | 5
Lattice="4.189 0.000 0.000 0.000 4.189 0.000 0.000 0.000 4.189" Properties=species:S:1:pos:R:3 comment="PBE TaGe3H, optimized geometry" space_group="Pm-3m (221)" dos_at_fermi_per_ev_atom=0.8928 pbc="T T T"
Ta 0.000 0.000 0.000
Ge 0.000 2.094 2.094
Ge 2.094 0.000 2.094
Ge 2.094 2.094 0.000
H 2.094 2.094 2.094



2 | 5
Lattice="5.024 0.000 0.000 0.000 5.024 0.000 0.000 0.000 5.024" Properties=species:S:1:pos:R:3 comment="PBE TaGe3H, optimized geometry" space_group="Pm-3m (221)" dos_at_fermi_per_ev_atom=0.3890 pbc="T T T"
Ta 0.000 0.000 0.000
Ge 0.000 0.000 2.512
Ge 0.000 2.512 0.000
Ge 2.512 0.000 0.000
H 2.512 2.512 2.512



Most stable: 1. Least stable: 2.



1 | 5
Lattice="3.648 0.000 0.000 0.000 3.648 0.000 0.000 0.000 3.648" Properties=species:S:1:pos:R:3 comment="PBE TaGeH3, optimized geometry" space_group="Pm-3m (221)" dos_at_fermi_per_ev_atom=0.3696 pbc="T T T"
Ta 0.000 0.000 0.000
Ge 1.824 1.824 1.824
H 0.000 0.000 1.824
H 0.000 1.824 0.000
H 1.824 0.000 0.000



2 | 5
Lattice="3.538 0.000 0.000 0.000 3.538 0.000 0.000 0.000 3.538" Properties=species:S:1:pos:R:3 comment="PBE TaGeH3, optimized geometry" space_group="Pm-3m (221)" dos_at_fermi_per_ev_atom=0.6461 pbc="T T T"
Ta 0.000 0.000 0.000
Ge 1.769 1.769 1.769
H 0.000 1.769 1.769
H 1.769 0.000 1.769
H 1.769 1.769 0.000



Most stable: 1. Least stable: 2.



1 | 3
Lattice="3.605 0.000 0.000 -1.803 3.122 0.000 0.000 0.000 4.700" Properties=species:S:1:pos:R:3 comment="PBE TbGeH, optimized geometry" space_group="P-6m2 (187)" dos_at_fermi_per_ev_atom=0.2133 pbc="T T T"
Tb 0.000 0.000 0.000
Ge 1.803 1.041 2.350
H 0.000 2.081 0.000



2 | 12
Lattice="7.787 0.000 0.000 0.000 3.977 0.000 0.000 0.000 6.063" Properties=species:S:1:pos:R:3 comment="PBE TbGeH, optimized geometry" space_group="Pnma (62)" dos_at_fermi_per_ev_atom=0.1545 pbc="T T T"
Tb 1.359 0.994 0.710
Tb 2.535 2.983 3.742
Tb 5.252 0.994 2.321
Tb 6.429 2.983 5.353
Ge 0.242 0.994 3.778
Ge 3.651 2.983 0.746
Ge 4.136 0.994 5.316
Ge 7.545 2.983 2.285
H 0.936 2.983 5.628
H 2.957 0.994 2.596
H 4.830 2.983 3.467
H 6.851 0.994 0.435



3 | 6
Lattice="4.067 0.000 0.000 0.000 4.001 0.000 -2.032 0.000 5.788" Properties=species:S:1:pos:R:3 comment="PBE TbGeH, optimized geometry" space_group="P2_1/m (11)" dos_at_fermi_per_ev_atom=0.2035 pbc="T T T"
Tb -0.003 1.000 1.724
Tb 2.038 3.000 4.065
Ge 0.007 1.000 5.023
Ge 2.028 3.000 0.765
H 0.000 3.000 2.944
H 2.035 1.000 2.844



Most stable: 3. Least stable: 1.



1 | 8
Lattice="-2.007 3.127 6.510 2.007 -3.127 6.510 2.007 3.127 -6.510" Properties=species:S:1:pos:R:3 comment="PBE Tb2GeH, optimized geometry" space_group="Immm (71)" dos_at_fermi_per_ev_atom=0.3965 pbc="T T T"
Tb 0.000 0.000 2.601
Tb 2.007 1.656 0.000
Tb 0.000 1.471 6.510
Tb 0.000 0.000 10.420
Ge 2.007 0.000 4.709
Ge 0.000 3.127 1.802
H 2.007 0.000 1.443
H 0.000 3.127 5.068



2 | 4
Lattice="2.177 1.257 7.058 -2.177 1.257 7.058 0.000 -2.514 7.058" Properties=species:S:1:pos:R:3 comment="PBE Tb2GeH, optimized geometry" space_group="R-3m (166)" dos_at_fermi_per_ev_atom=0.9074 pbc="T T T"
Tb 0.000 0.000 2.120
Tb 0.000 0.000 19.054
Ge 0.000 0.000 10.587
H 0.000 0.000 0.000



Most stable: 1. Least stable: 2.



1 | 5
Lattice="3.507 0.000 0.000 0.000 3.507 0.000 0.000 0.000 3.507" Properties=species:S:1:pos:R:3 comment="PBE TcGeH3, optimized geometry" space_group="Pm-3m (221)" dos_at_fermi_per_ev_atom=0.5443 pbc="T T T"
Tc 0.000 0.000 0.000
Ge 1.753 1.753 1.753
H 0.000 1.753 1.753
H 1.753 0.000 1.753
H 1.753 1.753 0.000



2 | 5
Lattice="3.559 0.000 0.000 0.000 3.559 0.000 0.000 0.000 3.559" Properties=species:S:1:pos:R:3 comment="PBE TcGeH3, optimized geometry" space_group="Pm-3m (221)" dos_at_fermi_per_ev_atom=0.4096 pbc="T T T"
Tc 0.000 0.000 0.000
Ge 1.779 1.779 1.779
H 0.000 0.000 1.779
H 0.000 1.779 0.000
H 1.779 0.000 0.000



Most stable: 2. Least stable: 1.



1 | 8
Lattice="-2.444 2.444 4.565 2.444 -2.444 4.565 2.444 2.444 -4.565" Properties=species:S:1:pos:R:3 comment="PBE Tc2GeH, optimized geometry" space_group="I-42d (122)" dos_at_fermi_per_ev_atom=0.9177 pbc="T T T"
Tc 0.504 1.222 1.141
Tc -1.222 1.940 3.424
Tc -0.504 3.666 1.141
Tc 1.222 2.948 3.424
Ge 2.444 0.000 2.283
Ge 0.000 0.000 4.565
H 0.000 0.000 0.000
H 0.000 2.444 2.283



2 | 4
Lattice="1.479 0.854 6.095 -1.479 0.854 6.095 0.000 -1.708 6.095" Properties=species:S:1:pos:R:3 comment="PBE Tc2GeH, optimized geometry" space_group="R3m (160)" dos_at_fermi_per_ev_atom=0.5804 pbc="T T T"
Tc 0.000 0.000 0.000
Tc 0.000 0.000 3.869
Ge 0.000 0.000 14.142
H 0.000 0.000 11.042



Most stable: 2. Least stable: 1.



1 | 4
Lattice="0.000 2.924 2.924 2.924 0.000 2.924 2.924 2.924 0.000" Properties=species:S:1:pos:R:3 comment="PBE Tc2GeH, optimized geometry" space_group="Fm-3m (225)" dos_at_fermi_per_ev_atom=1.0334 pbc="T T T"
Tc 1.462 1.462 1.462
Tc 4.385 4.385 4.385
Ge 0.000 0.000 0.000
H 2.924 2.924 2.924



2 | 4
Lattice="1.457 0.841 6.282 -1.457 0.841 6.282 0.000 -1.683 6.282" Properties=species:S:1:pos:R:3 comment="PBE Tc2GeH, optimized geometry" space_group="R-3m (166)" dos_at_fermi_per_ev_atom=1.0380 pbc="T T T"
Tc 0.000 0.000 4.239
Tc 0.000 0.000 14.606
Ge 0.000 0.000 0.000
H 0.000 0.000 9.423



Most stable: 2. Least stable: 1.



1 | 4
Lattice="0.000 3.016 3.016 3.016 0.000 3.016 3.016 3.016 0.000" Properties=species:S:1:pos:R:3 comment="PBE TcGe2H, optimized geometry" space_group="Fm-3m (225)" dos_at_fermi_per_ev_atom=0.4339 pbc="T T T"
Tc 0.000 0.000 0.000
Ge 1.508 1.508 1.508
Ge 4.525 4.525 4.525
H 3.016 3.016 3.016



2 | 8
Lattice="-2.356 2.356 5.416 2.356 -2.356 5.416 2.356 2.356 -5.416" Properties=species:S:1:pos:R:3 comment="PBE TcGe2H, optimized geometry" space_group="I-42d (122)" dos_at_fermi_per_ev_atom=0.1131 pbc="T T T"
Tc 0.000 0.000 0.000
Tc 0.000 2.356 2.708
Ge 1.178 -0.674 4.062
Ge 1.682 1.178 1.354
Ge 1.178 3.030 -1.354
Ge 0.674 1.178 6.770
H 2.356 0.000 2.708
H 0.000 0.000 5.416



Most stable: 1. Least stable: 2.



1 | 3
Lattice="-1.700 1.700 4.447 1.700 -1.700 4.447 1.700 1.700 -4.447" Properties=species:S:1:pos:R:3 comment="PBE TcGeH, optimized geometry" space_group="I4mm (107)" dos_at_fermi_per_ev_atom=0.4459 pbc="T T T"
Tc 0.000 0.000 0.000
Ge 0.000 0.000 4.768
H 0.000 0.000 1.615



2 | 6
Lattice="4.469 0.000 0.000 0.000 3.131 0.000 -0.150 0.000 4.746" Properties=species:S:1:pos:R:3 comment="PBE TcGeH, optimized geometry" space_group="P2_1/m (11)" dos_at_fermi_per_ev_atom=0.2826 pbc="T T T"
Tc 1.036 0.783 0.640
Tc 3.283 2.348 4.106
Ge 0.995 2.348 2.768
Ge 3.324 0.783 1.977
H 2.011 2.348 0.655
H 2.308 0.783 4.091



3 | 12
Lattice="5.075 0.000 0.000 0.000 4.809 0.000 -1.875 0.000 5.518" Properties=species:S:1:pos:R:3 comment="PBE TcGeH, optimized geometry" space_group="P2_1/c (14)" dos_at_fermi_per_ev_atom=0.6588 pbc="T T T"
Tc 0.413 0.711 1.242
Tc -0.524 1.693 4.001
Tc 3.724 3.116 1.517
Tc 2.786 4.098 4.276
Ge 1.233 3.117 0.665
Ge 0.296 4.097 3.424
Ge 2.904 0.712 2.094
Ge 1.967 1.693 4.853
H -0.282 0.583 5.421
H 0.655 1.821 2.662
H 2.544 2.988 2.856
H 3.482 4.226 0.097



Most stable: 3. Least stable: 1.



1 | 6
Lattice="4.044 0.000 0.000 0.014 4.657 0.000 1.788 0.019 8.281" Properties=species:S:1:pos:R:3 comment="PBE GeTeH, optimized geometry" space_group="P1 (1)" dos_at_fermi_per_ev_atom=0.1318 pbc="T T T"
Ge 0.000 0.000 0.000
Ge 2.026 2.916 1.048
Te 3.809 1.474 7.002
Te 4.050 1.463 2.327
H 1.744 4.083 4.463
H 2.113 3.551 4.849



2 | 3
Lattice="3.545 0.000 0.000 -1.773 3.070 0.000 0.000 0.000 5.431" Properties=species:S:1:pos:R:3 comment="PBE GeTeH, optimized geometry" space_group="P3m1 (156)" dos_at_fermi_per_ev_atom=0.4340 pbc="T T T"
Ge 0.000 0.000 0.000
Te 1.773 1.023 3.392
H 0.000 2.047 0.454



3 | 3
Lattice="-2.088 2.088 3.447 2.088 -2.088 3.447 2.088 2.088 -3.447" Properties=species:S:1:pos:R:3 comment="PBE GeTeH, optimized geometry" space_group="I4mm (107)" dos_at_fermi_per_ev_atom=0.2588 pbc="T T T"
Ge 0.000 0.000 0.000
Te 0.000 0.000 3.084
H 0.000 0.000 5.182



4 | 3
Lattice="2.695 -2.709 0.000 2.695 2.709 0.000 -0.057 0.000 4.856" Properties=species:S:1:pos:R:3 comment="PBE GeTeH, optimized geometry" space_group="Cm (8)" dos_at_fermi_per_ev_atom=0.1521 pbc="T T T"
Ge 0.000 0.000 0.000
Te 2.694 0.000 0.832
H 5.327 0.000 3.284



Most stable: 1. Least stable: 2.



1 | 4
Lattice="1.615 0.933 9.261 -1.615 0.933 9.261 0.000 -1.865 9.261" Properties=species:S:1:pos:R:3 comment="PBE GeTe2H, optimized geometry" space_group="R-3m (166)" dos_at_fermi_per_ev_atom=0.5921 pbc="T T T"
Ge 0.000 0.000 0.000
Te 0.000 0.000 2.949
Te 0.000 0.000 24.834
H 0.000 0.000 13.891



2 | 8
Lattice="-2.968 2.968 5.782 2.968 -2.968 5.782 2.968 2.968 -5.782" Properties=species:S:1:pos:R:3 comment="PBE GeTe2H, optimized geometry" space_group="I-42d (122)" dos_at_fermi_per_ev_atom=0.6212 pbc="T T T"
Ge 0.000 0.000 0.000
Ge 0.000 2.968 2.891
Te 1.484 -1.103 4.336
Te 1.865 1.484 1.445
Te 1.484 4.071 -1.445
Te 1.103 1.484 7.227
H 2.968 0.000 2.891
H 0.000 0.000 5.782



Most stable: 2. Least stable: 1.



1 | 4
Lattice="0.000 3.479 3.479 3.479 0.000 3.479 3.479 3.479 0.000" Properties=species:S:1:pos:R:3 comment="PBE GeTe2H, optimized geometry" space_group="Fm-3m (225)" dos_at_fermi_per_ev_atom=0.5829 pbc="T T T"
Ge 0.000 0.000 0.000
Te 1.739 1.739 1.739
Te 5.218 5.218 5.218
H 3.479 3.479 3.479



2 | 8
Lattice="3.890 0.000 0.000 -1.925 7.110 0.000 -0.027 -0.468 7.388" Properties=species:S:1:pos:R:3 comment="PBE GeTe2H, optimized geometry" space_group="P1 (1)" dos_at_fermi_per_ev_atom=0.3102 pbc="T T T"
Ge 0.000 0.000 0.000
Ge -0.117 6.868 3.694
Te -0.171 1.820 2.885
Te 0.013 5.466 1.370
Te 1.942 1.590 6.578
Te 1.824 5.231 5.066
H 0.067 2.350 4.479
H 1.749 2.594 0.784



Most stable: 2. Least stable: 1.